# ErBiAu4 (PBE, relaxed)
# SG: P6/mmm (191)
# DFT formation energy, meV per atom: -424
# Polymorph energy (0 for the lowest one), eV per atom: 0.0000
# M_tot, μB/atom: 0.000
data_ErBiAu4
_chemical_formula_sum 'Er1 Bi1 Au4'
_cell_length_a 4.8444
_cell_length_b 4.8444
_cell_length_c 6.4308
_cell_angle_alpha 90.00
_cell_angle_beta 90.00
_cell_angle_gamma 120.00
_space_group_name_H-M_alt 'P 1'
_space_group_IT_number 1
loop_
_space_group_symop_operation_xyz
'x,y,z'
loop_
_atom_site_label
_atom_site_fract_x
_atom_site_fract_y
_atom_site_fract_z
Bi1 0.0000 0.0000 0.5000
Au1 0.6667 0.3333 0.7676
Au2 0.3333 0.6667 0.2324
Au3 0.6667 0.3333 0.2324
Au4 0.3333 0.6667 0.7676
Er1 0.0000 0.0000 0.0000

# EuErBiAu (PBE, relaxed)
# SG: F-43m (216)
# DFT formation energy, meV per atom: -681
# M_tot, μB/atom: 1.936
data_EuErBiAu
_chemical_formula_sum 'Eu1 Er1 Bi1 Au1'
_cell_length_a 5.3644
_cell_length_b 5.3644
_cell_length_c 5.3644
_cell_angle_alpha 60.00
_cell_angle_beta 60.00
_cell_angle_gamma 60.00
_space_group_name_H-M_alt 'P 1'
_space_group_IT_number 1
loop_
_space_group_symop_operation_xyz
'x,y,z'
loop_
_atom_site_label
_atom_site_fract_x
_atom_site_fract_y
_atom_site_fract_z
Bi1 0.5000 0.5000 0.5000
Eu1 0.7500 0.7500 0.7500
Au1 0.0000 0.0000 0.0000
Er1 0.2500 0.2500 0.2500

# ErHgBiAu (PBE, relaxed)
# SG: F-43m (216)
# DFT formation energy, meV per atom: -367
# M_tot, μB/atom: 0.000
data_ErHgBiAu
_chemical_formula_sum 'Er1 Hg1 Bi1 Au1'
_cell_length_a 5.1850
_cell_length_b 5.1850
_cell_length_c 5.1850
_cell_angle_alpha 60.00
_cell_angle_beta 60.00
_cell_angle_gamma 60.00
_space_group_name_H-M_alt 'P 1'
_space_group_IT_number 1
loop_
_space_group_symop_operation_xyz
'x,y,z'
loop_
_atom_site_label
_atom_site_fract_x
_atom_site_fract_y
_atom_site_fract_z
Hg1 0.5000 0.5000 0.5000
Er1 0.2500 0.2500 0.2500
Bi1 0.7500 0.7500 0.7500
Au1 0.0000 0.0000 0.0000

# ErMgBiAu (PBE, relaxed)
# SG: F-43m (216)
# DFT formation energy, meV per atom: -466
# M_tot, μB/atom: 0.000
data_ErMgBiAu
_chemical_formula_sum 'Er1 Mg1 Bi1 Au1'
_cell_length_a 5.1512
_cell_length_b 5.1512
_cell_length_c 5.1512
_cell_angle_alpha 60.00
_cell_angle_beta 60.00
_cell_angle_gamma 60.00
_space_group_name_H-M_alt 'P 1'
_space_group_IT_number 1
loop_
_space_group_symop_operation_xyz
'x,y,z'
loop_
_atom_site_label
_atom_site_fract_x
_atom_site_fract_y
_atom_site_fract_z
Bi1 0.0000 0.0000 0.0000
Er1 0.7500 0.7500 0.7500
Mg1 0.2500 0.2500 0.2500
Au1 0.5000 0.5000 0.5000

# ErBiAu2O8 (PBE, relaxed)
# SG: I-4 (82)
# M_tot, μB/atom: 0.181
# Formation energy from raw total energies, meV per atom: -731
data_ErBiAu2O8
_chemical_formula_sum 'Er1 Bi1 Au2 O8'
_cell_length_a 5.5036
_cell_length_b 5.5036
_cell_length_c 6.4605
_cell_angle_alpha 115.21
_cell_angle_beta 115.21
_cell_angle_gamma 90.00
_space_group_name_H-M_alt 'P 1'
_space_group_IT_number 1
loop_
_space_group_symop_operation_xyz
'x,y,z'
loop_
_atom_site_label
_atom_site_fract_x
_atom_site_fract_y
_atom_site_fract_z
Au1 0.5000 0.5000 0.0000
Au2 0.2500 0.7500 0.5000
O1 0.6222 0.6536 0.5915
O2 0.7886 0.3271 0.9157
O3 0.9693 0.9379 0.5915
O4 0.0621 0.3778 0.4085
O5 0.6729 0.8729 0.0843
O6 0.3464 0.0307 0.4085
O7 0.1271 0.5886 0.9157
O8 0.4114 0.2114 0.0843
Bi1 0.7500 0.2500 0.5000
Er1 0.0000 0.0000 0.0000

# ErBiPdAu (PBE, relaxed)
# SG: F-43m (216)
# DFT formation energy, meV per atom: -616
# M_tot, μB/atom: 0.000
data_ErBiPdAu
_chemical_formula_sum 'Er1 Bi1 Pd1 Au1'
_cell_length_a 4.9836
_cell_length_b 4.9836
_cell_length_c 4.9836
_cell_angle_alpha 60.00
_cell_angle_beta 60.00
_cell_angle_gamma 60.00
_space_group_name_H-M_alt 'P 1'
_space_group_IT_number 1
loop_
_space_group_symop_operation_xyz
'x,y,z'
loop_
_atom_site_label
_atom_site_fract_x
_atom_site_fract_y
_atom_site_fract_z
Er1 0.7500 0.7500 0.7500
Au1 0.0000 0.0000 0.0000
Bi1 0.2500 0.2500 0.2500
Pd1 0.5000 0.5000 0.5000

# PmErBiAu (PBE, relaxed)
# SG: F-43m (216)
# DFT formation energy, meV per atom: -640
# M_tot, μB/atom: 0.218
data_PmErBiAu
_chemical_formula_sum 'Pm1 Er1 Bi1 Au1'
_cell_length_a 5.3330
_cell_length_b 5.3330
_cell_length_c 5.3330
_cell_angle_alpha 60.00
_cell_angle_beta 60.00
_cell_angle_gamma 60.00
_space_group_name_H-M_alt 'P 1'
_space_group_IT_number 1
loop_
_space_group_symop_operation_xyz
'x,y,z'
loop_
_atom_site_label
_atom_site_fract_x
_atom_site_fract_y
_atom_site_fract_z
Au1 0.5000 0.5000 0.5000
Er1 0.2500 0.2500 0.2500
Bi1 0.0000 0.0000 0.0000
Pm1 0.7500 0.7500 0.7500

# ErBiPtAu (PBE, relaxed)
# SG: F-43m (216)
# DFT formation energy, meV per atom: -650
# M_tot, μB/atom: 0.000
data_ErBiPtAu
_chemical_formula_sum 'Er1 Bi1 Pt1 Au1'
_cell_length_a 4.9854
_cell_length_b 4.9854
_cell_length_c 4.9854
_cell_angle_alpha 60.00
_cell_angle_beta 60.00
_cell_angle_gamma 60.00
_space_group_name_H-M_alt 'P 1'
_space_group_IT_number 1
loop_
_space_group_symop_operation_xyz
'x,y,z'
loop_
_atom_site_label
_atom_site_fract_x
_atom_site_fract_y
_atom_site_fract_z
Er1 0.0000 0.0000 0.0000
Bi1 0.5000 0.5000 0.5000
Pt1 0.7500 0.7500 0.7500
Au1 0.2500 0.2500 0.2500